VASP calculation (PBEsol) on a relaxed SbOs2PbS crystal.

Lattice parameters (Å, degrees): 4.810 4.810 5.899 90.00 90.00 90.00
Each line ends with the local moment (μB).
Fractional coordinates of all 5 atoms:
Pb  0.000  0.000  0.500  -0.03
Sb  0.000  0.000  0.000  -0.03
S  0.500  0.500  0.500  0.26
Os  0.000  0.500  0.000  1.15
Os  0.500  0.000  0.000  1.15

Values from the calculation:
**Formation energy (no corrections)**: 2.21 eV per atom
**Density of states at the Fermi level**: 1.15 states/eV per atom

VASP calculation (PBEsol) on a relaxed SbOs2Pb crystal.

Lattice parameters (Å, degrees): 2.925 4.172 7.080 90.00 91.60 90.00
Fractional coordinates of all 4 atoms:
Os  0.120  0.000  0.068
Os  0.630  0.500  0.167
Pb  0.638  0.000  0.440
Sb  0.112  0.500  0.825

Values from the calculation:
**Formation energy (no corrections)**: 0.61 eV per atom
**Density of states at the Fermi level**: 0.88 states/eV per atom
**Distance to the lowest polymorph of the same formula**: 0.0000 eV per atom